# NaSb2Pd8, relaxed, DFT PBE
# **Formation energy without anion corrections**: -224 meV/atom
# **E**: -53.57 eV/cell
data_NaSb2Pd8
_chemical_formula_sum 'Na1 Sb2 Pd8'
_space_group_name_H-M_alt 'P 1'
_space_group_IT_number 1
_cell_length_a 7.0662
_cell_length_b 7.0662
_cell_length_c 4.8153
_cell_angle_alpha 102.93
_cell_angle_beta 102.93
_cell_angle_gamma 116.09
loop_
_space_group_symop_operation_xyz
'x,y,z'
loop_
_atom_site_label
_atom_site_fract_x
_atom_site_fract_y
_atom_site_fract_z
_atom_site_occupancy
Na1 0.0000 0.0000 0.0000 1
Sb1 0.3113 0.6887 0.5000 1
Sb2 0.6887 0.3113 0.5000 1
Pd1 0.0879 0.3230 0.6206 1
Pd2 0.2271 0.7729 0.0000 1
Pd3 0.3230 0.0879 0.6206 1
Pd4 0.4046 0.4046 0.1809 1
Pd5 0.5954 0.5954 0.8191 1
Pd6 0.6770 0.9121 0.3794 1
Pd7 0.7729 0.2271 0.0000 1
Pd8 0.9121 0.6770 0.3794 1